Computed, not measured: an optimized crystal structure of AcRuI at the PBE level of DFT.

Cell: 13.142 13.142 13.142 Å, 19.21 19.21 19.21°
Positions (direct):
1 Ac 0.055 0.055 0.055
2 Ac 0.945 0.945 0.945
3 Ru 0.335 0.335 0.335
4 Ru 0.665 0.665 0.665
5 I 0.218 0.218 0.218
6 I 0.782 0.782 0.782

Output
As for the total energy: -17.23 eV per formula unit.


Computed, not measured: an optimized crystal structure of Ac3RuI2 at the PBE level of DFT.

Cell: 8.250 8.250 7.502 Å, 100.85 100.85 112.95°
Positions (direct):
1 Ac 0.000 0.500 0.500
2 Ac 0.108 0.247 0.002
3 Ac 0.247 0.108 0.502
4 Ac 0.500 0.000 0.000
5 Ac 0.753 0.892 0.498
6 Ac 0.892 0.753 0.998
7 Ru 0.095 0.905 0.750
8 Ru 0.905 0.095 0.250
9 I 0.280 0.720 0.250
10 I 0.428 0.572 0.750
11 I 0.572 0.428 0.250
12 I 0.720 0.280 0.750

Output
The calculation puts the distance to the lowest polymorph of the same formula at 58.0 meV/atom.


Computed, not measured: an optimized crystal structure of Ac5RuI5 at the PBE level of DFT.

Cell: 7.821 7.821 9.929 Å, 107.55 107.55 49.70°
Positions (direct):
1 Ac 0.000 0.000 0.000
2 Ac 0.336 0.336 0.122
3 Ac 0.361 0.361 0.726
4 Ac 0.639 0.639 0.274
5 Ac 0.664 0.664 0.878
6 Ru 0.500 0.500 0.000
7 I 0.131 0.131 0.762
8 I 0.181 0.181 0.363
9 I 0.500 0.500 0.500
10 I 0.819 0.819 0.637
11 I 0.869 0.869 0.238

Output
As for the total energy: -48.10 eV per formula unit.


Computed, not measured: an optimized crystal structure of Ac2RuI2 at the PBE level of DFT.

Cell: 4.389 4.389 35.838 Å, 90.00 90.00 120.00°
Positions (direct):
1 Ac 0.000 0.000 0.120
2 Ac 0.000 0.000 0.880
3 Ac 0.333 0.667 0.547
4 Ac 0.333 0.667 0.787
5 Ac 0.667 0.333 0.213
6 Ac 0.667 0.333 0.453
7 Ru 0.000 0.000 0.500
8 Ru 0.333 0.667 0.167
9 Ru 0.667 0.333 0.833
10 I 0.000 0.000 0.389
11 I 0.000 0.000 0.611
12 I 0.333 0.667 0.056
13 I 0.333 0.667 0.278
14 I 0.667 0.333 0.722
15 I 0.667 0.333 0.944

Output
As for the total energy: -24.42 eV per formula unit.